# 1
This record from Alexandria via LeMat-Bulk describes a geometry-optimized Na2YCoH8 structure. The functional is PBE.

It has space group P-3m1 (No. 164), with a = 4.6771 Å, b = 4.6771 Å, c = 5.8565 Å, α = 90.00°, β = 90.00° and γ = 120.00°. Symmetry generates all atoms from Na at (0.3333, 0.6667, 0.3666), Y at (0.0000, 0.0000, 0.0000), Co at (0.0000, 0.0000, 0.5000), H at (0.1506, 0.3011, 0.6605) and H at (0.3333, 0.6667, 0.9982).

The volume comes out at 110.95 Å³/f.u. The value obtained for the final energy is -3.849 eV/atom.

***

# 2
This record from Alexandria via LeMat-Bulk describes a geometry-optimized Ga3Co2Ru structure. The functional is PBE.

It has space group P4/mmm (No. 123), with a = 2.9524 Å, b = 2.9524 Å, c = 8.7154 Å, α = 90.00°, β = 90.00° and γ = 90.00°. Symmetry generates all atoms from Ga at (0.0000, 0.0000, 0.0000), Ga at (0.0000, 0.0000, 0.3251), Co at (0.5000, 0.5000, 0.1593) and Ru at (0.5000, 0.5000, 0.5000).

The volume comes out at 75.97 Å³/f.u. For the formation energy, the calculation gives -0.287 eV per atom.